Run 1
Crystalline CuAgPt at its relaxed geometry. Source: the Alexandria database, functional PBE.

Lattice parameters (Å, degrees): 5.933 5.933 5.933 152.16 152.16 39.78
Positions (direct):
Cu: 0.000 0.000 0.000
Ag: 0.665 0.665 0.000
Pt: 0.350 0.350 0.000

Computed properties:
The space group is I4mm, No. 107. As for the density of states at the Fermi level: 1.7 states/eV/f.u. The calculation puts the total magnetic moment at 0.00 μB/f.u.



Run 2
Crystalline CuAgPt at its relaxed geometry. Source: the Alexandria database, functional PBE.

Lattice parameters (Å, degrees): 7.318 7.078 2.737 84.03 74.14 21.84
Positions (direct):
Cu: 0.000 0.000 0.000
Ag: 0.662 0.662 0.338
Pt: 0.343 0.343 0.657

Computed properties:
The space group is Fmm2, No. 42. As for the density of states at the Fermi level: 1.3 states/eV/f.u. The calculation puts the total magnetic moment at 0.00 μB/f.u.



Stability, highest: run 1



Run 1
Crystalline CuAgPt at its relaxed geometry. Source: the Alexandria database, functional PBE.

Lattice parameters (Å, degrees): 4.937 4.937 4.937 146.90 135.24 56.79
Positions (direct):
Cu: 0.000 0.000 0.000
Ag: 0.329 0.329 0.000
Pt: 0.648 0.648 0.000

Computed properties:
The space group is Imm2, No. 44. As for the density of states at the Fermi level: 1.2 states/eV/f.u. The calculation puts the total magnetic moment at 0.00 μB/f.u.



Run 2
Crystalline CuAgPt at its relaxed geometry. Source: the Alexandria database, functional PBE.

Lattice parameters (Å, degrees): 4.180 4.180 4.180 60.00 60.00 60.00
Positions (direct):
Cu: 0.000 0.000 0.000
Ag: 0.750 0.750 0.750
Pt: 0.250 0.250 0.250

Computed properties:
The space group is F-43m, No. 216. As for the density of states at the Fermi level: 1.2 states/eV/f.u. The calculation puts the total magnetic moment at 0.00 μB/f.u.



Run 3
Crystalline CuAgPt at its relaxed geometry. Source: the Alexandria database, functional PBE.

Lattice parameters (Å, degrees): 4.398 4.398 2.768 90.00 90.00 120.00
Positions (direct):
Cu: 0.000 0.000 0.000
Ag: 0.333 0.667 0.626
Pt: 0.667 0.333 0.170

Computed properties:
The space group is P3m1, No. 156. As for the density of states at the Fermi level: 0.9 states/eV/f.u. The calculation puts the total magnetic moment at 0.00 μB/f.u.



Stability, highest: run 1



Run 1
Crystalline Cu4AgPt at its relaxed geometry. Source: the Alexandria database, functional PBE.

Lattice parameters (Å, degrees): 4.861 4.861 4.861 60.00 60.00 60.00
Positions (direct):
Cu: 0.125 0.125 0.125
Cu: 0.125 0.125 0.625
Cu: 0.125 0.625 0.125
Cu: 0.625 0.125 0.125
Ag: 0.500 0.500 0.500
Pt: 0.750 0.750 0.750

Computed properties:
The space group is F-43m, No. 216. As for the density of states at the Fermi level: 2.1 states/eV/f.u. The calculation puts the total magnetic moment at 0.00 μB/f.u.



Run 2
Crystalline Cu4AgPt at its relaxed geometry. Source: the Alexandria database, functional PBE.

Lattice parameters (Å, degrees): 5.163 5.314 6.467 87.67 74.15 74.35
Positions (direct):
Cu: 0.068 0.235 0.184
Cu: 0.265 0.429 0.467
Cu: 0.392 0.904 0.871
Cu: 0.393 0.413 0.857
Cu: 0.607 0.587 0.143
Cu: 0.608 0.096 0.129
Cu: 0.735 0.571 0.533
Cu: 0.932 0.765 0.816
Ag: 0.285 0.914 0.473
Ag: 0.715 0.086 0.527
Pt: 0.052 0.728 0.183
Pt: 0.948 0.272 0.817

Computed properties:
The space group is P-1, No. 2. As for the density of states at the Fermi level: 1.7 states/eV/f.u. The calculation puts the total magnetic moment at 0.00 μB/f.u.



Stability, highest: run 2



Run 1
Crystalline PuCuAg2 at its relaxed geometry. Source: the Alexandria database, functional PBE.

Lattice parameters (Å, degrees): 3.129 3.129 7.781 90.00 90.00 90.00
Positions (direct):
Pu: 0.000 0.000 0.000
Cu: 0.000 0.000 0.500
Ag: 0.500 0.500 0.302
Ag: 0.500 0.500 0.698

Computed properties:
The space group is P4/mmm, No. 123. As for the density of states at the Fermi level: 7.8 states/eV/f.u. The calculation puts the total magnetic moment at 5.95 μB/f.u.



Run 2
Crystalline PuCuAg2 at its relaxed geometry. Source: the Alexandria database, functional PBE.

Lattice parameters (Å, degrees): 10.045 10.045 10.045 16.71 16.71 16.71
Positions (direct):
Pu: 0.000 0.000 0.000
Cu: 0.500 0.500 0.500
Ag: 0.239 0.239 0.239
Ag: 0.761 0.761 0.761

Computed properties:
The space group is R-3m, No. 166. As for the density of states at the Fermi level: 5.8 states/eV/f.u. The calculation puts the total magnetic moment at 4.79 μB/f.u.



Stability, highest: run 1



Run 1
Crystalline RbCuAg2 at its relaxed geometry. Source: the Alexandria database, functional PBE.

Lattice parameters (Å, degrees): 9.607 9.607 9.607 147.12 147.12 47.19
Positions (direct):
Rb: 0.375 0.625 0.750
Rb: 0.625 0.375 0.250
Cu: 0.125 0.875 0.250
Cu: 0.875 0.125 0.750
Ag: 0.000 0.000 0.000
Ag: 0.000 0.000 0.500
Ag: 0.000 0.500 0.000
Ag: 0.500 0.000 0.500

Computed properties:
The space group is I4_1/amd, No. 141. As for the density of states at the Fermi level: 1.5 states/eV/f.u. The calculation puts the total magnetic moment at 0.00 μB/f.u.



Run 2
Crystalline RbCuAg2 at its relaxed geometry. Source: the Alexandria database, functional PBE.

Lattice parameters (Å, degrees): 5.192 5.192 5.192 60.00 60.00 60.00
Positions (direct):
Rb: 0.000 0.000 0.000
Cu: 0.500 0.500 0.500
Ag: 0.250 0.250 0.250
Ag: 0.750 0.750 0.750

Computed properties:
The space group is Fm-3m, No. 225. As for the density of states at the Fermi level: 1.7 states/eV/f.u. The calculation puts the total magnetic moment at 0.00 μB/f.u.



Stability, highest: run 1



Run 1
Crystalline CuRe3Ag at its relaxed geometry. Source: the Alexandria database, functional PBE.

Lattice parameters (Å, degrees): 4.743 4.743 4.743 90.00 90.00 90.00
Positions (direct):
Cu: 0.000 0.000 0.000
Re: 0.000 0.500 0.500
Re: 0.500 0.000 0.500
Re: 0.500 0.500 0.000
Ag: 0.500 0.500 0.500

Computed properties:
The space group is Pm-3m, No. 221. As for the density of states at the Fermi level: 7.4 states/eV/f.u. The calculation puts the total magnetic moment at 1.76 μB/f.u.



Run 2
Crystalline CuRe3Ag at its relaxed geometry. Source: the Alexandria database, functional PBE.

Lattice parameters (Å, degrees): 4.462 4.462 4.462 90.00 90.00 90.00
Positions (direct):
Cu: 0.000 0.000 0.000
Re: 0.000 0.000 0.500
Re: 0.000 0.500 0.000
Re: 0.500 0.000 0.000
Ag: 0.500 0.500 0.500

Computed properties:
The space group is Pm-3m, No. 221. As for the density of states at the Fermi level: 9.0 states/eV/f.u. The calculation puts the total magnetic moment at 0.00 μB/f.u.



Stability, highest: run 2



Run 1
Crystalline Cu2AgRh at its relaxed geometry. Source: the Alexandria database, functional PBE.

Lattice parameters (Å, degrees): 5.161 5.161 5.161 148.01 127.18 63.09
Positions (direct):
Cu: 0.245 0.245 0.000
Cu: 0.755 0.755 0.000
Ag: 0.500 0.000 0.500
Rh: 0.000 0.500 0.500

Computed properties:
The space group is Immm, No. 71. As for the density of states at the Fermi level: 3.5 states/eV/f.u. The calculation puts the total magnetic moment at 0.00 μB/f.u.



Run 2
Crystalline Cu2AgRh at its relaxed geometry. Source: the Alexandria database, functional PBE.

Lattice parameters (Å, degrees): 4.592 4.592 4.844 99.47 99.47 34.50
Positions (direct):
Cu: 0.246 0.246 0.233
Cu: 0.754 0.754 0.767
Ag: 0.000 0.000 0.500
Rh: 0.500 0.500 0.000

Computed properties:
The space group is C2/m, No. 12. As for the density of states at the Fermi level: 3.3 states/eV/f.u. The calculation puts the total magnetic moment at 0.33 μB/f.u.



Stability, highest: run 2



Run 1
Crystalline Cu2AgRh at its relaxed geometry. Source: the Alexandria database, functional PBE.

Lattice parameters (Å, degrees): 2.667 2.667 8.932 90.00 90.00 115.55
Positions (direct):
Cu: 0.000 0.000 0.000
Cu: 0.500 0.500 0.227
Ag: 0.000 0.000 0.484
Rh: 0.500 0.500 0.760

Computed properties:
The space group is Cmm2, No. 35. As for the density of states at the Fermi level: 3.2 states/eV/f.u. The calculation puts the total magnetic moment at 0.47 μB/f.u.



Run 2
Crystalline Cu2AgRh at its relaxed geometry. Source: the Alexandria database, functional PBE.

Lattice parameters (Å, degrees): 2.696 3.774 5.570 90.00 90.00 90.00
Positions (direct):
Cu: 0.000 0.000 0.000
Cu: 0.500 0.500 0.234
Ag: 0.500 0.500 0.748
Rh: 0.000 0.000 0.463

Computed properties:
The space group is Pmm2, No. 25. As for the density of states at the Fermi level: 3.6 states/eV/f.u. The calculation puts the total magnetic moment at 0.47 μB/f.u.



Run 3
Crystalline Cu2AgRh at its relaxed geometry. Source: the Alexandria database, functional PBE.

Lattice parameters (Å, degrees): 5.185 5.185 5.185 148.25 129.38 61.00
Positions (direct):
Cu: 0.000 0.000 0.000
Cu: 0.772 0.272 0.500
Ag: 0.518 0.518 0.000
Rh: 0.246 0.746 0.500

Computed properties:
The space group is Imm2, No. 44. As for the density of states at the Fermi level: 3.5 states/eV/f.u. The calculation puts the total magnetic moment at 0.00 μB/f.u.



Stability, highest: run 3